A geometry-optimized TaCo2Pb structure, computed with GGA-PBE.

Calculated values
Energy relative to the elements   0.416 eV per atom

Unit cell a=5.7823 b=5.7823 c=5.7823 alpha=39.92 beta=39.92 gamma=39.92
Fractional positions:
Co 0.9670 0.9670 0.9670
Co 0.3007 0.3007 0.3007
Pb 0.5204 0.5204 0.5204
Ta 0.7119 0.7119 0.7119



A geometry-optimized K2ZrCoCu structure, computed with GGA-PBE.

Calculated values
Energy relative to the elements   1.057 eV per atom

Unit cell a=6.2562 b=4.5412 c=6.2562 alpha=90.00 beta=90.00 gamma=90.00
Fractional positions:
K 0.0000 0.0000 0.5000
K 0.5000 0.0000 0.0000
Co 0.0000 0.0000 0.0000
Cu 0.5000 0.5000 0.5000
Zr 0.0000 0.5000 0.0000